# SrCu4Si2 PBE optimized geometry
# Crystal system: tetragonal
# Fermi-level density of states (states/eV/cell): 13.5
# ρ (g/cm³): 6.01
# Uncorrected formation energy (eV per atom): -0.22
# Total moment (Bohr magnetons per cell): 0.0
data_SrCu4Si2
_chemical_formula_sum 'Sr4 Cu16 Si8'
_cell_length_a 7.7700
_cell_length_b 7.7700
_cell_length_c 7.2802
_cell_angle_alpha 90.00
_cell_angle_beta 90.00
_cell_angle_gamma 90.00
_space_group_name_H-M_alt 'I 4/m c m'
_space_group_IT_number 140
_space_group_name_Hall '-I 4 2c'
loop_
_atom_site_label
_atom_site_type_symbol
_atom_site_fract_x
_atom_site_fract_y
_atom_site_fract_z
Sr1 Sr 0.0000 0.0000 0.2500
Cu1 Cu 0.1436 0.3564 0.1643
Si1 Si 0.1520 0.3480 0.5000



# Y3AlIn PBE optimized geometry
# Crystal system: hexagonal
# Fermi-level density of states (states/eV/cell): 9.8
# Energy relative to the elements (eV per atom): -0.19
# ρ (g/cm³): 4.67
# Total moment (Bohr magnetons per cell): 0.0
data_Y3AlIn
_chemical_formula_sum 'Y6 Al2 In2'
_cell_length_a 7.9980
_cell_length_b 7.9980
_cell_length_c 5.2394
_cell_angle_alpha 90.00
_cell_angle_beta 90.00
_cell_angle_gamma 120.00
_space_group_name_H-M_alt 'P 63/m m c'
_space_group_IT_number 194
_space_group_name_Hall '-P 6c 2c'
loop_
_atom_site_label
_atom_site_type_symbol
_atom_site_fract_x
_atom_site_fract_y
_atom_site_fract_z
Y1 Y 0.1908 0.3816 0.2500
Al1 Al 0.0000 0.0000 0.0000
In1 In 0.3333 0.6667 0.7500



# NaAc2Sn3Au6 PBE optimized geometry
# Crystal system: tetragonal
# Fermi-level density of states (states/eV/cell): 5.2
# Energy relative to the elements (eV per atom): -0.24
# ρ (g/cm³): 9.36
# Total moment (Bohr magnetons per cell): 0.0
data_NaAc2Sn3Au6
_chemical_formula_sum 'Na1 Ac2 Sn3 Au6'
_cell_length_a 4.7028
_cell_length_b 4.7028
_cell_length_c 16.1571
_cell_angle_alpha 90.00
_cell_angle_beta 90.00
_cell_angle_gamma 90.00
_space_group_name_H-M_alt 'P 4/m m m'
_space_group_IT_number 123
_space_group_name_Hall '-P 4 2'
loop_
_atom_site_label
_atom_site_type_symbol
_atom_site_fract_x
_atom_site_fract_y
_atom_site_fract_z
Na1 Na 0.0000 0.0000 0.0000
Ac1 Ac 0.0000 0.0000 0.2637
Sn1 Sn 0.5000 0.5000 0.1757
Sn2 Sn 0.5000 0.5000 0.5000
Au1 Au 0.0000 0.5000 0.0923
Au2 Au 0.5000 0.5000 0.3398



# Ta2ZnCr PBE optimized geometry
# Crystal system: tetragonal
# Fermi-level density of states (states/eV/cell): 13.6
# Energy relative to the elements (eV per atom): 0.66
# ρ (g/cm³): 11.87
# Total moment (Bohr magnetons per cell): 0.0
data_Ta2ZnCr
_chemical_formula_sum 'Ta8 Zn4 Cr4'
_cell_length_a 7.0473
_cell_length_b 7.0473
_cell_length_c 5.4005
_cell_angle_alpha 90.00
_cell_angle_beta 90.00
_cell_angle_gamma 90.00
_space_group_name_H-M_alt 'I -4 2 d'
_space_group_IT_number 122
_space_group_name_Hall 'I -4 2bw'
loop_
_atom_site_label
_atom_site_type_symbol
_atom_site_fract_x
_atom_site_fract_y
_atom_site_fract_z
Ta1 Ta 0.2279 0.2500 0.1250
Zn1 Zn 0.0000 0.0000 0.5000
Cr1 Cr 0.0000 0.0000 0.0000